A relaxed SrPaZnN3 crystal. Source: Alexandria via LeMat-Bulk, functional GGA-PBE.

Summary:
SG	P2_1/m, No. 11
magnetization	0.00	μB per cell
raw formation energy	-1010	meV/atom
VASP energy	-7.248	eV per atom

Unit cell a=6.522 b=3.660 c=8.808 alpha=90.00 beta=104.97 gamma=90.00
Fractional positions:
Sr (0.167, 0.250, 0.207)
Sr (0.833, 0.750, 0.793)
Pa (0.354, 0.250, 0.831)
Pa (0.646, 0.750, 0.169)
Zn (0.160, 0.750, 0.551)
Zn (0.840, 0.250, 0.449)
N (0.022, 0.250, 0.665)
N (0.304, 0.750, 0.996)
N (0.434, 0.750, 0.708)
N (0.566, 0.250, 0.292)
N (0.696, 0.250, 0.004)
N (0.978, 0.750, 0.335)